(1)
The following is a DFT calculation (GGA-PBE) of a relaxed TbMgAl4 crystal.

Summary:
The value obtained for the density is 4.079 g cm⁻³. The value obtained for the energy relative to the lowest polymorph listed for this composition is 18 meV per atom.

Cell and atoms, written as POSCAR:
```
TbMgAl4
1.0
0.000 3.899 3.899
3.899 0.000 3.899
3.899 3.899 0.000
Tb Mg Al
1 1 4
Direct
0.000 0.000 0.000
0.750 0.750 0.750
0.375 0.375 0.375
0.375 0.375 0.876
0.375 0.876 0.375
0.876 0.375 0.375
```



(2)
The following is a DFT calculation (GGA-PBE) of a relaxed Tb4MgAl3 crystal.

Summary:
The value obtained for the density is 6.312 g cm⁻³. The value obtained for the energy relative to the lowest polymorph listed for this composition is 0 meV per atom.

Cell and atoms, written as POSCAR:
```
Tb4MgAl3
1.0
10.345 0.000 0.000
0.000 7.285 0.000
0.000 0.000 5.173
Tb Mg Al
8 2 6
Direct
0.000 0.246 0.000
0.000 0.754 0.000
0.250 0.246 0.499
0.250 0.754 0.499
0.500 0.246 0.000
0.500 0.754 0.000
0.750 0.246 0.501
0.750 0.754 0.501
0.000 0.500 0.500
0.500 0.500 0.500
0.000 0.000 0.500
0.250 0.000 0.999
0.250 0.500 0.999
0.500 0.000 0.500
0.750 0.000 0.001
0.750 0.500 0.001
```



(3)
The following is a DFT calculation (GGA-PBE) of a relaxed Tb5Mg2Al crystal.

Summary:
The value obtained for the density is 6.242 g cm⁻³.

Cell and atoms, written as POSCAR:
```
Tb5Mg2Al
1.0
-3.899 3.899 7.614
3.899 -3.899 7.614
3.899 3.899 -7.614
Tb Mg Al
10 4 2
Direct
0.000 0.000 0.000
0.004 0.504 0.830
0.175 0.004 0.500
0.325 0.825 0.830
0.496 0.325 0.500
0.500 0.500 0.000
0.504 0.675 0.500
0.675 0.175 0.170
0.825 0.996 0.500
0.996 0.496 0.170
0.127 0.373 0.500
0.373 0.873 0.246
0.627 0.127 0.754
0.873 0.627 0.500
0.250 0.250 0.000
0.750 0.750 0.000
```



(4)
The following is a DFT calculation (GGA-PBE) of a relaxed Tb5MgAl4 crystal.

Summary:
The value obtained for the density is 6.314 g cm⁻³.

Cell and atoms, written as POSCAR:
```
Tb5MgAl4
1.0
3.644 0.000 0.000
0.000 3.644 0.000
0.000 0.000 18.359
Tb Mg Al
5 1 4
Direct
0.000 0.000 0.000
0.000 0.000 0.195
0.000 0.000 0.391
0.000 0.000 0.609
0.000 0.000 0.805
0.500 0.500 0.500
0.500 0.500 0.097
0.500 0.500 0.295
0.500 0.500 0.705
0.500 0.500 0.903
```



(5)
The following is a DFT calculation (GGA-PBE) of a relaxed Tb5Mg4Al crystal.

Summary:
The value obtained for the density is 5.724 g cm⁻³.

Cell and atoms, written as POSCAR:
```
Tb5Mg4Al
1.0
3.726 0.000 0.000
0.000 3.726 0.000
0.000 0.000 19.202
Tb Mg Al
5 4 1
Direct
0.000 0.000 0.000
0.000 0.000 0.204
0.000 0.000 0.409
0.000 0.000 0.591
0.000 0.000 0.796
0.500 0.500 0.102
0.500 0.500 0.305
0.500 0.500 0.695
0.500 0.500 0.898
0.500 0.500 0.500
```



(6)
The following is a DFT calculation (GGA-PBE) of a relaxed Tb3Mg7Al2 crystal.

Summary:
The value obtained for the density is 3.998 g cm⁻³.

Cell and atoms, written as POSCAR:
```
Tb3Mg7Al2
1.0
2.972 1.716 9.515
-2.972 1.716 9.515
0.000 -3.432 9.515
Tb Mg Al
3 7 2
Direct
0.000 0.000 0.000
0.145 0.145 0.145
0.855 0.855 0.855
0.076 0.583 0.583
0.417 0.417 0.924
0.417 0.924 0.417
0.500 0.500 0.500
0.583 0.076 0.583
0.583 0.583 0.076
0.924 0.417 0.417
0.334 0.334 0.334
0.666 0.666 0.666
```



(7)
The following is a DFT calculation (GGA-PBE) of a relaxed Tb3MgAl8 crystal.

Summary:
The value obtained for the density is 4.955 g cm⁻³. The value obtained for the energy relative to the lowest polymorph listed for this composition is 2 meV per atom.

Cell and atoms, written as POSCAR:
```
Tb3MgAl8
1.0
5.569 0.000 0.000
-2.784 4.823 0.000
0.000 0.000 8.946
Tb Mg Al
3 1 8
Direct
0.000 0.000 0.000
0.000 0.000 0.368
0.333 0.667 0.860
0.333 0.667 0.487
0.008 0.504 0.179
0.323 0.162 0.677
0.496 0.504 0.179
0.496 0.992 0.179
0.667 0.333 0.430
0.667 0.333 0.924
0.838 0.162 0.677
0.838 0.677 0.677
```



(8)
The following is a DFT calculation (GGA-PBE) of a relaxed Tb3MgAl2 crystal.

Summary:
The value obtained for the density is 6.169 g cm⁻³. The value obtained for the energy relative to the lowest polymorph listed for this composition is 19 meV per atom.

Cell and atoms, written as POSCAR:
```
Tb3MgAl2
1.0
3.647 0.000 0.000
0.000 3.647 0.000
0.000 0.000 11.235
Tb Mg Al
3 1 2
Direct
0.000 0.000 0.000
0.000 0.000 0.320
0.000 0.000 0.680
0.500 0.500 0.500
0.500 0.500 0.164
0.500 0.500 0.836
```



(9)
The following is a DFT calculation (GGA-PBE) of a relaxed Tb3MgAl8 crystal.

Summary:
The value obtained for the density is 4.942 g cm⁻³. The value obtained for the energy relative to the lowest polymorph listed for this composition is 0 meV per atom.

Cell and atoms, written as POSCAR:
```
Tb3MgAl8
1.0
2.772 1.600 9.054
-2.772 1.600 9.054
0.000 -3.200 9.054
Tb Mg Al
3 1 8
Direct
0.000 0.000 0.000
0.128 0.128 0.128
0.505 0.505 0.505
0.628 0.628 0.628
0.065 0.065 0.562
0.065 0.562 0.065
0.065 0.564 0.564
0.314 0.314 0.314
0.562 0.065 0.065
0.564 0.065 0.564
0.564 0.564 0.065
0.815 0.815 0.815
```



(10)
The following is a DFT calculation (GGA-PBE) of a relaxed Tb12Mg2Al5 crystal.

Summary:
The value obtained for the density is 6.676 g cm⁻³.

Cell and atoms, written as POSCAR:
```
Tb12Mg2Al5
1.0
6.460 -5.202 0.000
6.460 5.202 0.000
-1.573 0.000 7.736
Tb Mg Al
12 2 5
Direct
0.099 0.653 0.117
0.102 0.102 0.197
0.166 0.543 0.680
0.347 0.901 0.883
0.386 0.386 0.332
0.457 0.834 0.320
0.543 0.166 0.680
0.614 0.614 0.668
0.653 0.099 0.117
0.834 0.457 0.320
0.898 0.898 0.803
0.901 0.347 0.883
0.153 0.847 0.500
0.847 0.153 0.500
0.180 0.180 0.597
0.282 0.282 0.947
0.500 0.500 0.000
0.718 0.718 0.053
0.820 0.820 0.403
```



(11)
The following is a DFT calculation (GGA-PBE) of a relaxed Tb3Mg2Al4 crystal.

Summary:
The value obtained for the density is 5.130 g cm⁻³.

Cell and atoms, written as POSCAR:
```
Tb3Mg2Al4
1.0
5.424 -2.365 0.000
5.424 2.365 0.000
-4.015 0.000 7.991
Tb Mg Al
3 2 4
Direct
0.000 0.000 0.000
0.336 0.336 0.332
0.664 0.664 0.668
0.383 0.383 0.717
0.617 0.617 0.283
0.050 0.050 0.388
0.271 0.271 0.942
0.729 0.729 0.058
0.950 0.950 0.612
```



(12)
The following is a DFT calculation (GGA-PBE) of a relaxed TbMg2Al6 crystal.

Summary:
The value obtained for the density is 3.433 g cm⁻³.

Cell and atoms, written as POSCAR:
```
TbMg2Al6
1.0
7.936 0.000 0.000
-3.968 6.873 0.000
0.000 0.000 3.275
Tb Mg Al
1 2 6
Direct
0.000 0.000 0.000
0.333 0.667 0.000
0.667 0.333 0.000
0.000 0.336 0.500
0.000 0.664 0.500
0.336 0.000 0.500
0.336 0.336 0.500
0.664 0.000 0.500
0.664 0.664 0.500
```



Calculated volume values (in Å³/atom) by entry order: 19.8, 24.4, 28.9, 24.4, 26.7, 24.3, 20.0, 24.9, 20.1, 27.4, 22.8, 19.9.
Spin magnetization values (in Bohr magnetons per cell) by entry order: 0.0, 0.0, 0.0, 0.0, 0.0, 0.0, 0.0, 0.0, 0.0, 0.0, 0.0, 0.0.
Energy of formation from the pure elements values (in meV per atom) by entry order: -249, -336, -11, -337, -152, -87, -391, -300, -393, -119, -340, -133.